Entry 1:
An optimized crystal structure of Cs2Te3. Source: Alexandria via LeMat-Bulk, functional GGA-PBE.

Lattice parameters (Å, degrees): 7.417 7.417 7.417 49.62 49.62 49.62
Atoms (fractional coordinates):
Cs 0.102 0.102 0.102
Cs 0.898 0.898 0.898
Te 0.343 0.343 0.343
Te 0.500 0.500 0.500
Te 0.657 0.657 0.657

Calculated values
* DOS(E_F): 3.82 states/eV/cell
* crystal system: trigonal

***

Entry 2:
An optimized crystal structure of Cs2Te3. Source: Alexandria via LeMat-Bulk, functional GGA-PBE.

Lattice parameters (Å, degrees): 7.014 7.014 10.357 90.00 90.00 120.64
Atoms (fractional coordinates):
Cs 0.176 0.824 0.919
Cs 0.324 0.676 0.419
Cs 0.676 0.324 0.581
Cs 0.824 0.176 0.081
Te 0.000 0.000 0.500
Te 0.190 0.310 0.750
Te 0.310 0.190 0.250
Te 0.500 0.500 0.000
Te 0.690 0.810 0.750
Te 0.810 0.690 0.250

Calculated values
* DOS(E_F): 4.82 states/eV/cell
* crystal system: orthorhombic

***

Entry 3:
An optimized crystal structure of Cs3Te. Source: Alexandria via LeMat-Bulk, functional GGA-PBE.

Lattice parameters (Å, degrees): 6.025 6.025 6.025 90.00 90.00 90.00
Atoms (fractional coordinates):
Cs 0.000 0.000 0.500
Cs 0.000 0.500 0.000
Cs 0.500 0.000 0.000
Te 0.500 0.500 0.500

Calculated values
* DOS(E_F): 1.45 states/eV/cell
* crystal system: cubic

***

Entry 4:
An optimized crystal structure of CsThTe2. Source: Alexandria via LeMat-Bulk, functional GGA-PBE.

Lattice parameters (Å, degrees): 3.956 3.956 9.155 90.00 90.00 90.00
Atoms (fractional coordinates):
Cs 0.000 0.000 0.000
Th 0.000 0.000 0.500
Te 0.500 0.500 0.303
Te 0.500 0.500 0.697

Calculated values
* DOS(E_F): 1.97 states/eV/cell
* crystal system: tetragonal

***

Entry 5:
An optimized crystal structure of CsThTe3. Source: Alexandria via LeMat-Bulk, functional GGA-PBE.

Lattice parameters (Å, degrees): 9.120 9.120 8.855 103.02 103.02 41.31
Atoms (fractional coordinates):
Cs 0.128 0.128 0.371
Cs 0.872 0.872 0.629
Th 0.351 0.351 0.097
Th 0.649 0.649 0.903
Te 0.166 0.166 0.934
Te 0.362 0.362 0.430
Te 0.458 0.458 0.834
Te 0.542 0.542 0.166
Te 0.638 0.638 0.570
Te 0.834 0.834 0.066

Calculated values
* crystal system: monoclinic

***

Entry 6:
An optimized crystal structure of Cs5ThTe5. Source: Alexandria via LeMat-Bulk, functional GGA-PBE.

Lattice parameters (Å, degrees): 9.532 9.532 10.379 108.31 108.31 43.73
Atoms (fractional coordinates):
Cs 0.000 0.000 0.000
Cs 0.299 0.299 0.193
Cs 0.325 0.325 0.659
Cs 0.675 0.675 0.341
Cs 0.701 0.701 0.807
Th 0.000 0.000 0.500
Te 0.129 0.129 0.362
Te 0.135 0.135 0.787
Te 0.500 0.500 0.500
Te 0.865 0.865 0.213
Te 0.871 0.871 0.638

Calculated values
* DOS(E_F): 15.49 states/eV/cell
* crystal system: monoclinic

***

Entry 7:
An optimized crystal structure of CsThTe4. Source: Alexandria via LeMat-Bulk, functional GGA-PBE.

Lattice parameters (Å, degrees): 5.406 5.406 10.126 92.02 92.02 65.52
Atoms (fractional coordinates):
Cs 0.000 0.000 0.000
Th 0.500 0.500 0.500
Te 0.138 0.138 0.413
Te 0.371 0.371 0.213
Te 0.629 0.629 0.787
Te 0.862 0.862 0.587

Calculated values
* DOS(E_F): 3.77 states/eV/cell
* crystal system: monoclinic

***

Entry 8:
An optimized crystal structure of Cs2Th2Te5. Source: Alexandria via LeMat-Bulk, functional GGA-PBE.

Lattice parameters (Å, degrees): 10.327 10.327 8.817 90.00 90.00 50.48
Atoms (fractional coordinates):
Cs 0.204 0.204 0.000
Cs 0.296 0.296 0.500
Cs 0.704 0.704 0.500
Cs 0.796 0.796 0.000
Th 0.160 0.840 0.660
Th 0.340 0.660 0.160
Th 0.660 0.340 0.840
Th 0.840 0.160 0.340
Te 0.000 0.000 0.000
Te 0.036 0.750 0.357
Te 0.250 0.536 0.857
Te 0.250 0.964 0.357
Te 0.464 0.750 0.857
Te 0.500 0.500 0.500
Te 0.536 0.250 0.143
Te 0.750 0.036 0.643
Te 0.750 0.464 0.143
Te 0.964 0.250 0.643

Calculated values
* DOS(E_F): 1.71 states/eV/cell
* crystal system: orthorhombic

***

| no. | ΔE_f (raw) (eV per atom) |
| --- | --- |
| 1 | -0.60 |
| 2 | -0.69 |
| 3 | -0.61 |
| 4 | -1.17 |
| 5 | -1.01 |
| 6 | -1.00 |
| 7 | -0.79 |
| 8 | -1.24 |